Entry from the Alexandria database: an optimized crystal structure of NaV (PBE-GGA).

Calculated values
Calculated total energy, eV for the cell shown: -13.0
Excess energy over the best structure of this formula in the dataset, meV/atom: 1473
Volume, Å³/cell: 141.9
E_form, eV/atom: 1.961

a = 5.2245 Å, b = 5.2245 Å, c = 6.0033 Å
α = 90.00°, β = 90.00°, γ = 120.00°
Space group P6_3/mmc (No. 194)
Symmetry-distinct sites (fractional):
Na (0.3333, 0.6667, 0.2500)
V (0.3333, 0.6667, 0.7500)



Entry from the Alexandria database: an optimized crystal structure of CoAsBr2 (PBE-GGA).

Calculated values
Calculated total energy, eV for the cell shown: -15.2
Excess energy over the best structure of this formula in the dataset, meV/atom: 65
Volume, Å³/cell: 114.4
ΔE_f (raw), eV/atom: -0.016

a = 4.755 Å, b = 3.573 Å, c = 6.931 Å
α = 90.00°, β = 103.74°, γ = 90.00°
Space group Pm (No. 6)
Symmetry-distinct sites (fractional):
Co (0.000, 0.000, 0.000)
As (0.246, 0.500, 0.947)
Br (0.642, 0.000, 0.709)
Br (0.939, 0.500, 0.245)



Entry from the Alexandria database: an optimized crystal structure of Sm6DyHo3 (PBE-GGA).

Calculated values
Calculated total energy, eV for the cell shown: -180.7
Excess energy over the best structure of this formula in the dataset, meV/atom: 20
Volume, Å³/cell: 1324.1
E_form, eV/atom: 0.147

a = 11.007 Å, b = 19.202 Å, c = 6.264 Å
α = 90.00°, β = 90.00°, γ = 90.00°
Space group Cmc2_1 (No. 36)
Symmetry-distinct sites (fractional):
Sm (0.000, 0.040, 0.000)
Sm (0.000, 0.279, 0.258)
Sm (0.167, 0.457, 0.359)
Sm (0.236, 0.290, 0.541)
Dy (0.000, 0.200, 0.781)
Ho (0.000, 0.386, 0.827)
Ho (0.169, 0.113, 0.439)



Entry from the Alexandria database: an optimized crystal structure of Pm4Si2F5 (PBE-GGA).

Calculated values
Calculated total energy, eV for the cell shown: -131.6
Volume, Å³/cell: 468.5
ΔE_f (raw), eV/atom: -2.420

a = 18.056 Å, b = 3.897 Å, c = 6.967 Å
α = 90.00°, β = 107.13°, γ = 90.00°
Space group C2/m (No. 12)
Symmetry-distinct sites (fractional):
Pm (0.032, 0.000, 0.283)
Pm (0.217, 0.500, 0.221)
Si (0.063, 0.500, 0.996)
F (0.000, 0.500, 0.500)
F (0.193, 0.000, 0.430)
F (0.231, 0.500, 0.867)



Entry from the Alexandria database: an optimized crystal structure of CaTlRu (PBE-GGA).

Calculated values
Calculated total energy, eV for the cell shown: -43.3
Volume, Å³/cell: 317.1
E_form, eV/atom: 0.943

a = 6.819 Å, b = 6.819 Å, c = 6.819 Å
α = 90.00°, β = 90.00°, γ = 90.00°
Space group F-43m (No. 216)
Symmetry-distinct sites (fractional):
Ca (0.000, 0.000, 0.000)
Tl (0.250, 0.250, 0.750)
Ru (0.250, 0.250, 0.250)



Entry from the Alexandria database: an optimized crystal structure of PmPrHoLu (PBE-GGA).

Calculated values
Calculated total energy, eV for the cell shown: -73.0
Volume, Å³/cell: 527.0
E_form, eV/atom: 0.096

a = 8.077 Å, b = 8.077 Å, c = 8.077 Å
α = 90.00°, β = 90.00°, γ = 90.00°
Space group F-43m (No. 216)
Symmetry-distinct sites (fractional):
Pm (0.000, 0.000, 0.000)
Pr (0.000, 0.000, 0.500)
Ho (0.250, 0.250, 0.250)
Lu (0.250, 0.250, 0.750)



Entry from the Alexandria database: an optimized crystal structure of GaNiOs (PBE-GGA).

Calculated values
Calculated total energy, eV for the cell shown: -80.2
Volume, Å³/cell: 169.4
E_form, eV/atom: -0.006

a = 8.741 Å, b = 2.784 Å, c = 6.961 Å
α = 90.00°, β = 90.20°, γ = 90.00°
Space group Cm (No. 8)
Symmetry-distinct sites (fractional):
Ga (0.000, 0.000, 0.000)
Ga (0.113, 0.000, 0.368)
Ni (0.279, 0.000, 0.877)
Ni (0.386, 0.000, 0.256)
Os (0.058, 0.500, 0.696)
Os (0.329, 0.500, 0.563)



Entry from the Alexandria database: an optimized crystal structure of LaSmCu (PBE-GGA).

Calculated values
Calculated total energy, eV for the cell shown: -56.1
Excess energy over the best structure of this formula in the dataset, meV/atom: 0
Volume, Å³/cell: 330.0
E_form, eV/atom: -0.097

a = 7.894 Å, b = 4.938 Å, c = 8.467 Å
α = 90.00°, β = 90.00°, γ = 90.00°
Space group Pnma (No. 62)
Symmetry-distinct sites (fractional):
La (0.034, 0.250, 0.159)
Sm (0.142, 0.250, 0.588)
Cu (0.221, 0.750, 0.399)